The following is a DFT calculation (GGA-PBE) of a relaxed CsLiMgSn2 crystal.

a = 5.345 Å, b = 5.444 Å, c = 5.345 Å
α = 90.00°, β = 90.00°, γ = 90.00°
Element x y z (fractional)
Cs (0.500, 0.500, 0.500)
Mg (0.000, 0.500, 0.000)
Sn (0.000, 0.000, 0.500)
Sn (0.500, 0.000, 0.000)
Li (0.000, 0.000, 0.000)

Total moment, Bohr magnetons per cell: 0.0
Space-group type: P4/mmm (123)
Energy of formation, eV/atom: 0.1183
Raw total energy, eV per atom: -2.3552